# 1
The following is a PBE-GGA calculation of Ce3As4Rh7 after structural relaxation, from Alexandria.

Cell and atoms, written as POSCAR:
```
Ce3As4Rh7
1.0
-3.7535 -0.6840 -1.4417
-2.5181 -6.5677 3.9028
-5.0151 2.3685 6.1642
Ce As Rh
3 4 7
Direct
0.6723 0.8228 0.8327
0.0000 0.5000 0.5000
0.3277 0.1772 0.1673
0.1087 0.1153 0.6674
0.6606 0.4437 0.2352
0.8913 0.8847 0.3326
0.3394 0.5563 0.7648
0.5083 0.7724 0.2111
0.6985 0.1446 0.4585
0.4917 0.2276 0.7889
0.3015 0.8554 0.5415
0.1686 0.5942 0.0686
0.8314 0.4058 0.9314
0.0000 0.0000 0.0000
```

Output
N(E_F) in states/eV/f.u.: 13.65
Formation energy from the elements in eV per atom: -0.9132

# 2
The following is a PBE-GGA calculation of La2OsRh after structural relaxation, from Alexandria.

Cell and atoms, written as POSCAR:
```
La2OsRh
1.0
7.6385 0.0000 0.0000
0.0000 7.6385 0.0000
3.8193 3.8193 3.1887
La Rh Os
4 2 2
Direct
0.1216 0.6250 0.2500
0.8750 0.8784 0.7500
0.6284 0.1250 0.2500
0.3750 0.3716 0.7500
0.5000 0.5000 0.0000
0.2500 0.7500 0.5000
0.7500 0.2500 0.5000
0.0000 0.0000 0.0000
```

Output
N(E_F) in states/eV/f.u.: 2.99
Formation energy from the elements in eV per atom: -0.0011

# 3
The following is a PBE-GGA calculation of LiPu2As4Rh3 after structural relaxation, from Alexandria.

Cell and atoms, written as POSCAR:
```
LiPu2As4Rh3
1.0
4.2951 0.0000 0.0000
0.0000 4.2951 0.0000
0.0000 0.0000 9.9448
As Li Rh Pu
4 1 3 2
Direct
0.5000 0.5000 0.0000
0.0000 0.5000 0.3641
0.5000 0.0000 0.6359
0.0000 0.0000 0.0000
0.5000 0.5000 0.5000
0.0000 0.0000 0.5000
0.5000 0.0000 0.8804
0.0000 0.5000 0.1196
0.0000 0.5000 0.7497
0.5000 0.0000 0.2503
```

Output
N(E_F) in states/eV/f.u.: 25.80
Formation energy from the elements in eV per atom: -0.6987